# Pr2YCrN4

Pr2YCrN4 after structural relaxation (PBE-GGA, the Alexandria database).

Cell lengths 3.454, 11.808, 12.332 Å; angles 90.00, 90.00, 90.00 degrees
Space group Cmcm (No. 63)
Symmetry-distinct sites (fractional):
Pr 0.000 0.133 0.042 (multiplicity 8)
Y 0.000 0.381 0.250 (multiplicity 4)
Cr 0.000 0.337 0.750 (multiplicity 4)
N 0.000 0.084 0.250 (multiplicity 4)
N 0.000 0.225 0.642 (multiplicity 8)
N 0.000 0.500 0.000 (multiplicity 4)

Properties
ρ, g/cm³: 6.322
Final energy, eV per atom: -8.32
Formation energy (no corrections), meV/atom: -956
Magnetization, μB/atom: 0.267